First-principles (GGA+U) data for crystalline Mg2VAuO at its relaxed geometry, as listed in the Alexandria database.

a = 5.0354 Å, b = 5.0354 Å, c = 5.0492 Å
α = 90.00°, β = 90.00°, γ = 90.00°
Positions (direct):
Mg1 0.0000 0.5000 0.0000
Mg2 0.5000 0.0000 0.0000
V1 0.0000 0.0000 0.5000
Au1 0.0000 0.0000 0.0000
O1 0.5000 0.5000 0.5000

Properties
Density   4.05 Mg/m³
M_tot   2.68 μB per cell
E_tot   -3.127 eV per atom